Entry 1:
Density functional theory data (PBE-GGA) for TaMo2HPt after structural relaxation.

Results
For the relative energy among the computed polymorphs, the calculation gives 0 meV per atom. The calculated density is 14.160 g/cm³.

Geometry as POSCAR:
```
TaMo2HPt
1.0
3.9999 0.0000 0.0000
0.0000 3.9999 0.0000
0.0000 0.0000 4.1702
Ta Mo H Pt
1 2 1 1
Cartesian
0.0000 0.0000 0.0000
0.0000 1.9999 2.0851
1.9999 0.0000 2.0851
0.0000 0.0000 2.0851
1.9999 1.9999 0.0000
```

***

Entry 2:
Density functional theory data (PBE-GGA) for TcMoHPt2 after structural relaxation.

Results
The calculated density is 15.279 g/cm³. The calculation puts the total energy at -7.3212 eV/atom.

Geometry as POSCAR:
```
TcMoHPt2
1.0
3.9225 0.0000 0.0000
0.0000 3.9225 0.0000
0.0000 0.0000 4.1330
Tc Mo H Pt
1 1 1 2
Cartesian
0.0000 0.0000 0.0000
1.9612 1.9612 0.0000
0.0000 0.0000 2.0665
0.0000 1.9612 2.0665
1.9612 0.0000 2.0665
```

***

Entry 3:
Density functional theory data (PBE-GGA) for TeMoH2Pt after structural relaxation.

Results
The calculated density is 9.084 g/cm³. The calculation puts the total energy at -4.8669 eV/atom.

Geometry as POSCAR:
```
TeMoH2Pt
1.0
3.7468 0.0000 0.0000
0.0000 3.7468 0.0000
0.0000 0.0000 5.4773
Te Mo H Pt
1 1 2 1
Cartesian
0.0000 0.0000 0.0000
1.8734 1.8734 0.0000
0.0000 1.8734 2.7386
1.8734 0.0000 2.7386
1.8734 1.8734 2.7386
```

***

Entry 4:
Density functional theory data (PBE-GGA) for Ti2MoHPt after structural relaxation.

Results
For the relative energy among the computed polymorphs, the calculation gives 0 meV per atom. The calculated density is 9.838 g/cm³.

Geometry as POSCAR:
```
Ti2MoHPt
1.0
4.3257 0.0000 0.0000
0.0000 4.3257 0.0000
0.0000 0.0000 3.4978
Ti Mo H Pt
2 1 1 1
Cartesian
0.0000 2.1628 0.0000
2.1628 0.0000 0.0000
0.0000 0.0000 1.7489
0.0000 0.0000 0.0000
2.1628 2.1628 1.7489
```

***

Entry 5:
Density functional theory data (PBE-GGA) for TiMo2HPt after structural relaxation.

Results
The calculated density is 11.138 g/cm³. The calculation puts the total energy at -8.0572 eV/atom.

Geometry as POSCAR:
```
TiMo2HPt
1.0
3.9047 0.0000 0.0000
0.0000 3.9047 0.0000
0.0000 0.0000 4.2618
Ti Mo H Pt
1 2 1 1
Cartesian
0.0000 0.0000 0.0000
0.0000 1.9523 2.1309
1.9523 0.0000 2.1309
0.0000 0.0000 2.1309
1.9523 1.9523 0.0000
```

***

Entry 6:
Density functional theory data (PBE-GGA) for Ti2MoHPt after structural relaxation.

Results
For the relative energy among the computed polymorphs, the calculation gives 53 meV per atom. The calculated density is 9.809 g/cm³.

Geometry as POSCAR:
```
Ti2MoHPt
1.0
4.3239 0.0000 0.0000
0.0000 4.3239 0.0000
0.0000 0.0000 3.5111
Ti Mo H Pt
2 1 1 1
Cartesian
0.0000 2.1620 0.0000
2.1620 0.0000 0.0000
0.0000 0.0000 1.7556
2.1620 2.1620 0.0000
2.1620 2.1620 1.7556
```

***

Entry 7:
Density functional theory data (PBE-GGA) for Mo2HPtW after structural relaxation.

Results
For the relative energy among the computed polymorphs, the calculation gives 0 meV per atom. The calculated density is 14.678 g/cm³.

Geometry as POSCAR:
```
Mo2HPtW
1.0
3.9998 0.0000 0.0000
0.0000 3.9998 0.0000
0.0000 0.0000 4.0435
Mo H Pt W
2 1 1 1
Cartesian
0.0000 1.9999 0.0000
1.9999 0.0000 0.0000
0.0000 0.0000 0.0000
1.9999 1.9999 2.0218
0.0000 0.0000 2.0218
```

***

Entry 8:
Density functional theory data (PBE-GGA) for Mo2HPtW after structural relaxation.

Results
For the relative energy among the computed polymorphs, the calculation gives 55 meV per atom. The calculated density is 14.645 g/cm³.

Geometry as POSCAR:
```
Mo2HPtW
1.0
4.0272 0.0000 0.0000
0.0000 4.0272 0.0000
0.0000 0.0000 3.9978
Mo H Pt W
2 1 1 1
Cartesian
0.0000 2.0136 0.0000
2.0136 0.0000 0.0000
0.0000 0.0000 0.0000
0.0000 0.0000 1.9989
2.0136 2.0136 1.9989
```

***

Entry 9:
Density functional theory data (PBE-GGA) for ZnMo2HPt after structural relaxation.

Results
The calculated density is 11.797 g/cm³. The calculation puts the total energy at -6.4689 eV/atom.

Geometry as POSCAR:
```
ZnMo2HPt
1.0
3.8158 0.0000 0.0000
0.0000 3.8158 0.0000
0.0000 0.0000 4.3829
Zn Mo H Pt
1 2 1 1
Cartesian
0.0000 0.0000 0.0000
0.0000 1.9079 2.1914
1.9079 0.0000 2.1914
0.0000 0.0000 2.1914
1.9079 1.9079 0.0000
```

***

Entry 10:
Density functional theory data (PBE-GGA) for Zr2MoHPt after structural relaxation.

Results
For the relative energy among the computed polymorphs, the calculation gives 74 meV per atom. The calculated density is 10.170 g/cm³.

Geometry as POSCAR:
```
Zr2MoHPt
1.0
4.6353 0.0000 0.0000
0.0000 4.6353 0.0000
0.0000 0.0000 3.6058
Zr Mo H Pt
2 1 1 1
Cartesian
0.0000 2.3176 0.0000
2.3176 0.0000 0.0000
0.0000 0.0000 1.8029
2.3176 2.3176 0.0000
2.3176 2.3176 1.8029
```

***

Entry 11:
Density functional theory data (PBE-GGA) for Zr2MoHPt after structural relaxation.

Results
For the relative energy among the computed polymorphs, the calculation gives 0 meV per atom. The calculated density is 10.198 g/cm³.

Geometry as POSCAR:
```
Zr2MoHPt
1.0
4.6563 0.0000 0.0000
0.0000 4.6563 0.0000
0.0000 0.0000 3.5635
Zr Mo H Pt
2 1 1 1
Cartesian
0.0000 2.3282 0.0000
2.3282 0.0000 0.0000
0.0000 0.0000 1.7817
0.0000 0.0000 0.0000
2.3282 2.3282 1.7817
```

***

Entry 12:
Density functional theory data (PBE-GGA) for PuMoH2 after structural relaxation.

Results
The calculated density is 13.165 g/cm³. The calculation puts the total energy at -7.9421 eV/atom.

Geometry as POSCAR:
```
PuMoH2
1.0
1.4740 0.8510 5.7308
-1.4740 0.8510 5.7308
0.0000 -1.7020 5.7308
Pu Mo H
1 1 2
Cartesian
0.0000 0.0000 0.0000
0.0000 0.0000 8.5962
0.0000 0.0000 3.8660
0.0000 0.0000 13.3263
```